Entry from Alexandria: crystalline CaBe3B at its relaxed geometry (GGA-PBE).

abc: 3.8731 3.8731 3.8731
angles: 90.00 90.00 90.00
Last column: nearest neighbours and their distance in Å.
Atoms (fractional coordinates):
Ca  0.5000  0.5000  0.5000  12 Be 2.74
Be  0.5000  0.0000  0.0000  2 B 1.94
Be  0.0000  0.0000  0.5000  2 B 1.94
Be  0.0000  0.5000  0.0000  2 B 1.94
B  0.0000  0.0000  0.0000  6 Be 1.94

## Properties
volume: 58.10 Å³ per cell
electronic total energy: -18.26 eV for the cell shown
total moment: 0.000 μB per atom
theoretical density: 2.227 g cm⁻³
DOS at the Fermi energy: 1.02 states/eV/f.u.
formation energy from the elements: 0.319 eV per atom